# Lu4Tl3Mo2N3

Crystalline Lu4Tl3Mo2N3 at its relaxed geometry (PBE, the Open Quantum Materials Database).

## Properties
- Final energy: -160.9 eV for the cell shown
- Space-group type: No. 15
- Volume: 17.8 A^3/atom

a b c (Å): 5.827 5.827 14.809
angles (deg): 100.79 100.79 60.36
Positions (direct):
Lu: 0.025 0.199 0.087
Lu: 0.143 0.304 0.413
Lu: 0.199 0.025 0.587
Lu: 0.304 0.143 0.913
Lu: 0.696 0.857 0.087
Lu: 0.801 0.975 0.413
Lu: 0.857 0.696 0.587
Lu: 0.975 0.801 0.913
Tl: 0.113 0.887 0.250
Tl: 0.281 0.415 0.749
Tl: 0.415 0.281 0.249
Tl: 0.585 0.719 0.751
Tl: 0.719 0.585 0.251
Tl: 0.887 0.113 0.750
Mo: 0.372 0.522 0.068
Mo: 0.478 0.628 0.432
Mo: 0.522 0.372 0.568
Mo: 0.628 0.478 0.932
N: 0.000 0.500 0.000
N: 0.157 0.672 0.500
N: 0.328 0.843 0.000
N: 0.500 0.000 0.500
N: 0.672 0.157 0.000
N: 0.843 0.328 0.500



# Lu2Tl3Mo4N3

Crystalline Lu2Tl3Mo4N3 at its relaxed geometry (PBE, the Open Quantum Materials Database).

## Properties
- Final energy: -177.2 eV for the cell shown
- Space-group type: No. 15
- Volume: 16.5 A^3/atom

a b c (Å): 5.756 5.756 14.132
angles (deg): 101.36 101.36 60.28
Positions (direct):
Lu: 0.029 0.860 0.595
Lu: 0.140 0.971 0.905
Lu: 0.860 0.029 0.095
Lu: 0.971 0.140 0.405
Tl: 0.081 0.302 0.746
Tl: 0.302 0.081 0.246
Tl: 0.469 0.531 0.750
Tl: 0.531 0.469 0.250
Tl: 0.698 0.919 0.754
Tl: 0.919 0.698 0.254
Mo: 0.189 0.373 0.068
Mo: 0.326 0.460 0.432
Mo: 0.373 0.189 0.568
Mo: 0.460 0.326 0.932
Mo: 0.540 0.674 0.068
Mo: 0.627 0.811 0.432
Mo: 0.674 0.540 0.568
Mo: 0.811 0.627 0.932
N: 0.000 0.500 0.500
N: 0.159 0.683 0.000
N: 0.317 0.841 0.500
N: 0.500 0.000 0.000
N: 0.683 0.159 0.500
N: 0.841 0.317 0.000



# Lu4Zn3Mo2N3

Crystalline Lu4Zn3Mo2N3 at its relaxed geometry (PBE, the Open Quantum Materials Database).

## Properties
- Final energy: -156.2 eV for the cell shown
- Space-group type: No. 15
- Volume: 15.8 A^3/atom

a b c (Å): 5.700 5.700 13.870
angles (deg): 102.00 102.00 60.41
Positions (direct):
Lu: 0.037 0.197 0.101
Lu: 0.126 0.303 0.399
Lu: 0.197 0.037 0.601
Lu: 0.303 0.126 0.899
Lu: 0.697 0.874 0.101
Lu: 0.803 0.963 0.399
Lu: 0.874 0.697 0.601
Lu: 0.963 0.803 0.899
Zn: 0.158 0.842 0.250
Zn: 0.332 0.413 0.751
Zn: 0.413 0.332 0.251
Zn: 0.587 0.668 0.749
Zn: 0.668 0.587 0.249
Zn: 0.842 0.158 0.750
Mo: 0.356 0.523 0.069
Mo: 0.477 0.644 0.431
Mo: 0.523 0.356 0.569
Mo: 0.644 0.477 0.931
N: 0.000 0.500 0.000
N: 0.159 0.671 0.500
N: 0.329 0.841 0.000
N: 0.500 0.000 0.500
N: 0.671 0.159 0.000
N: 0.841 0.329 0.500



# NaLuMoOs

Crystalline NaLuMoOs at its relaxed geometry (PBE, the Open Quantum Materials Database).

## Properties
- Excess energy over the best structure of this formula in the dataset: 0.0 kJ per mole of atoms
- Space-group type: No. 216
- Volume: 17.9 A^3/atom

a b c (Å): 4.662 4.662 4.662
angles (deg): 60.00 60.00 60.00
Positions (direct):
Na: 0.000 0.000 0.000
Lu: 0.250 0.250 0.250
Mo: 0.750 0.750 0.750
Os: 0.500 0.500 0.500